1.
{"formula": "V4ZnH", "functional": "PBE-GGA", "state": "optimized geometry", "total_energy_ev_per_atom": -6.786, "density_g_cm3": 6.33, "lattice": [[6.636, -2.579, 0.000], [6.636, 2.579, 0.000], [-1.415, 0.000, 4.144]], "species": ["V", "V", "V", "V", "V", "V", "V", "V", "Zn", "Zn", "H", "H"], "frac_coords": [[0.136, 0.642, 0.398], [0.240, 0.760, 0.000], [0.296, 0.296, 0.781], [0.358, 0.864, 0.602], [0.642, 0.136, 0.398], [0.704, 0.704, 0.219], [0.760, 0.240, 0.000], [0.864, 0.358, 0.602], [0.188, 0.188, 0.177], [0.812, 0.812, 0.823], [0.418, 0.418, 0.128], [0.582, 0.582, 0.872]]}



2.
{"formula": "V3ZnH3", "functional": "PBE-GGA", "state": "optimized geometry", "de_polymorph_kcal_per_mol_atoms": 0.00, "density_g_cm3": 5.87, "lattice": [[5.002, 0.000, 0.000], [0.000, 5.002, 0.000], [0.000, 0.000, 5.002]], "species": ["V", "V", "V", "V", "V", "V", "Zn", "Zn", "H", "H", "H", "H", "H", "H"], "frac_coords": [[0.000, 0.250, 0.500], [0.000, 0.750, 0.500], [0.250, 0.500, 0.000], [0.500, 0.000, 0.250], [0.500, 0.000, 0.750], [0.750, 0.500, 0.000], [0.000, 0.000, 0.000], [0.500, 0.500, 0.500], [0.000, 0.500, 0.250], [0.000, 0.500, 0.750], [0.250, 0.000, 0.500], [0.500, 0.250, 0.000], [0.500, 0.750, 0.000], [0.750, 0.000, 0.500]]}



3.
{"formula": "VZn2H2", "functional": "PBE-GGA", "state": "optimized geometry", "de_polymorph_kcal_per_mol_atoms": 6.65, "density_g_cm3": 6.10, "lattice": [[-1.364, 1.364, 6.721], [1.364, -1.364, 6.721], [1.364, 1.364, -6.721]], "species": ["V", "Zn", "Zn", "H", "H"], "frac_coords": [[0.000, 0.000, 0.000], [0.355, 0.355, 0.000], [0.645, 0.645, 0.000], [0.250, 0.750, 0.500], [0.750, 0.250, 0.500]]}



4.
{"formula": "VZn2H", "functional": "PBE-GGA", "state": "optimized geometry", "de_polymorph_kcal_per_mol_atoms": 0.00, "density_g_cm3": 6.06, "lattice": [[-2.715, 2.715, 3.397], [2.715, -2.715, 3.397], [2.715, 2.715, -3.397]], "species": ["V", "V", "Zn", "Zn", "Zn", "Zn", "H", "H"], "frac_coords": [[0.000, 0.000, 0.000], [0.750, 0.250, 0.500], [0.251, 0.625, 0.126], [0.375, 0.501, 0.626], [0.499, 0.125, 0.874], [0.875, 0.749, 0.374], [0.250, 0.750, 0.500], [0.500, 0.500, 0.000]]}



5.
{"formula": "V3ZnH2", "functional": "PBE-GGA", "state": "optimized geometry", "total_energy_ev_per_atom": -5.900, "density_g_cm3": 5.90, "lattice": [[5.710, -1.663, 0.000], [5.710, 1.663, 0.000], [-1.906, 0.000, 6.531]], "species": ["V", "V", "V", "V", "V", "V", "Zn", "Zn", "H", "H", "H", "H"], "frac_coords": [[0.054, 0.054, 0.323], [0.281, 0.281, 0.669], [0.385, 0.385, 0.316], [0.615, 0.615, 0.684], [0.719, 0.719, 0.331], [0.946, 0.946, 0.677], [0.162, 0.162, 0.007], [0.838, 0.838, 0.993], [0.103, 0.103, 0.598], [0.462, 0.462, 0.796], [0.538, 0.538, 0.204], [0.897, 0.897, 0.402]]}



6.
{"formula": "V2ZnH2", "functional": "PBE-GGA", "state": "optimized geometry", "total_energy_ev_per_atom": -5.364, "density_g_cm3": 6.09, "lattice": [[-1.657, 1.657, 4.204], [1.657, -1.657, 4.204], [1.657, 1.657, -4.204]], "species": ["V", "V", "Zn", "H", "H"], "frac_coords": [[0.166, 0.166, 0.000], [0.834, 0.834, 0.000], [0.500, 0.500, 0.000], [0.250, 0.750, 0.500], [0.750, 0.250, 0.500]]}